1.
DFT (PBE-GGA) results for a geometry-optimized Er4Mg5Co2 structure.

Computed properties:
E   -0.140 Ha/atom
D(E_F)   8.5 states/eV per cell
DFT formation energy   -0.129 eV per atom
Total moment   0.000 Bohr magnetons per cell

a b c (Å): 7.8405 3.5371 9.4495
angles (deg): 90.00 94.54 90.00
Atoms (fractional coordinates):
Er1 0.1691 0.0000 0.3336
Er2 0.1967 0.0000 0.9454
Er3 0.8033 0.0000 0.0546
Er4 0.8309 0.0000 0.6664
Mg1 0.1733 0.5000 0.6473
Mg2 0.4536 0.5000 0.1664
Mg3 0.5000 0.5000 0.5000
Mg4 0.5464 0.5000 0.8336
Mg5 0.8267 0.5000 0.3527
Co1 0.0702 0.5000 0.1365
Co2 0.9298 0.5000 0.8635

---

2.
DFT (PBE-GGA) results for a geometry-optimized Er4MgCo structure.

Computed properties:
E   -0.169 Ha/atom
D(E_F)   13.9 states/eV per cell
DFT formation energy   -0.098 eV per atom
Total moment   0.000 Bohr magnetons per cell

a b c (Å): 7.6755 7.6755 5.9393
angles (deg): 99.79 99.79 109.34
Atoms (fractional coordinates):
Er1 0.0589 0.7316 0.9529
Er2 0.1912 0.3627 0.6176
Er3 0.2684 0.9411 0.5471
Er4 0.3627 0.1912 0.1176
Er5 0.6373 0.8088 0.8824
Er6 0.7316 0.0589 0.4529
Er7 0.8088 0.6373 0.3824
Er8 0.9411 0.2684 0.0471
Mg1 0.3791 0.6209 0.2500
Mg2 0.6209 0.3791 0.7500
Co1 0.0011 0.9989 0.7500
Co2 0.9989 0.0011 0.2500

---

3.
DFT (PBE-GGA) results for a geometry-optimized ErMgCo structure.

Computed properties:
E   -0.164 Ha/atom
D(E_F)   1.8 states/eV per cell
DFT formation energy   -0.051 eV per atom
Total moment   0.313 Bohr magnetons per cell

a b c (Å): 6.0749 6.0749 6.0749
angles (deg): 148.98 148.98 44.45
Atoms (fractional coordinates):
Er1 0.0000 0.0000 0.0000
Mg1 0.7307 0.7307 0.0000
Co1 0.3634 0.3634 0.0000

---

4.
DFT (PBE-GGA) results for a geometry-optimized Er5Mg4Co2 structure.

Computed properties:
E   -0.150 Ha/atom
D(E_F)   20.3 states/eV per cell
DFT formation energy   -0.142 eV per atom
Total moment   0.000 Bohr magnetons per cell

a b c (Å): 7.9714 18.1490 3.5352
angles (deg): 90.00 90.00 90.00
Atoms (fractional coordinates):
Er1 0.0000 0.0000 0.0000
Er2 0.1272 0.4037 0.0000
Er3 0.2313 0.7212 0.0000
Er4 0.2687 0.2212 0.0000
Er5 0.3728 0.9037 0.0000
Er6 0.5000 0.5000 0.0000
Er7 0.6272 0.0963 0.0000
Er8 0.7313 0.7788 0.0000
Er9 0.7687 0.2788 0.0000
Er10 0.8728 0.5963 0.0000
Mg1 0.0500 0.8477 0.5000
Mg2 0.1956 0.5656 0.5000
Mg3 0.3044 0.0656 0.5000
Mg4 0.4500 0.3477 0.5000
Mg5 0.5500 0.6523 0.5000
Mg6 0.6956 0.9344 0.5000
Mg7 0.8044 0.4344 0.5000
Mg8 0.9500 0.1523 0.5000
Co1 0.0442 0.2996 0.5000
Co2 0.4558 0.7996 0.5000
Co3 0.5442 0.2004 0.5000
Co4 0.9558 0.7004 0.5000

---

5.
DFT (PBE-GGA) results for a geometry-optimized Er2MgCo structure.

Computed properties:
E   -0.170 Ha/atom
D(E_F)   3.2 states/eV per cell
DFT formation energy   -0.165 eV per atom
Total moment   0.734 Bohr magnetons per cell

a b c (Å): 3.3634 3.3634 8.0318
angles (deg): 90.00 90.00 90.00
Atoms (fractional coordinates):
Er1 0.0000 0.0000 0.2001
Er2 0.0000 0.0000 0.7999
Mg1 0.5000 0.5000 0.5000
Co1 0.5000 0.5000 0.0000

---

6.
DFT (PBE-GGA) results for a geometry-optimized Er2MgCo2 structure.

Computed properties:
E   -0.191 Ha/atom
D(E_F)   4.3 states/eV per cell
DFT formation energy   -0.199 eV per atom
Total moment   0.000 Bohr magnetons per cell

a b c (Å): 5.5918 5.5918 7.6250
angles (deg): 103.46 103.46 57.13
Atoms (fractional coordinates):
Er1 0.0010 0.7040 0.8534
Er2 0.2960 0.9990 0.6466
Er3 0.7040 0.0010 0.3534
Er4 0.9990 0.2960 0.1466
Mg1 0.3671 0.6329 0.2500
Mg2 0.6329 0.3671 0.7500
Co1 0.1922 0.5065 0.4917
Co2 0.4935 0.8078 0.0083
Co3 0.5065 0.1922 0.9917
Co4 0.8078 0.4935 0.5083